Entry from Alexandria: crystalline BaYTi3 at its relaxed geometry (PBEsol).

Output
E_form ... 1.367 eV per atom
Magnetization ... 0.182 μB/atom

abc: 4.9922 4.9922 4.9922
angles: 90.00 90.00 90.00
Space group Pm-3m (No. 221)
Inequivalent atoms, fractional coordinates:
Ba 0.0000 0.0000 0.0000
Y 0.5000 0.5000 0.5000
Ti 0.0000 0.0000 0.5000

=====

Entry from Alexandria: crystalline BaTiZn3 at its relaxed geometry (PBEsol).

Output
E_form ... 0.294 eV per atom
Magnetization ... 0.592 μB/atom

abc: 5.0561 5.0561 5.0561
angles: 90.00 90.00 90.00
Space group Pm-3m (No. 221)
Inequivalent atoms, fractional coordinates:
Ba 0.0000 0.0000 0.0000
Ti 0.5000 0.5000 0.5000
Zn 0.0000 0.5000 0.5000

=====

Entry from Alexandria: crystalline BaZr3Ti at its relaxed geometry (PBEsol).

Output
E_form ... 1.832 eV per atom
Magnetization ... 0.294 μB/atom

abc: 5.1802 5.1802 5.1802
angles: 90.00 90.00 90.00
Space group Pm-3m (No. 221)
Inequivalent atoms, fractional coordinates:
Ba 0.0000 0.0000 0.0000
Zr 0.0000 0.0000 0.5000
Ti 0.5000 0.5000 0.5000

=====

Entry from Alexandria: crystalline Ba3Tl at its relaxed geometry (PBEsol).

Output
E_form ... -0.212 eV per atom
Magnetization ... 0.000 μB/atom

abc: 4.3331 6.2841 13.5506
angles: 90.00 90.00 90.00
Space group Immm (No. 71)
Inequivalent atoms, fractional coordinates:
Ba 0.0000 0.0000 0.0000
Ba 0.0000 0.5000 0.2021
Tl 0.0000 0.0000 0.5000

=====

Entry from Alexandria: crystalline BaTl2 at its relaxed geometry (PBEsol).

Output
E_form ... -0.366 eV per atom
Magnetization ... 0.000 μB/atom

abc: 14.3172 4.6617 7.1086
angles: 90.00 119.72 90.00
Space group C2/m (No. 12)
Inequivalent atoms, fractional coordinates:
Ba 0.1706 0.0000 0.1700
Tl 0.9995 0.5000 0.2673
Tl 0.1242 0.0000 0.6231

=====

Entry from Alexandria: crystalline Ba2Tl at its relaxed geometry (PBEsol).

Output
E_form ... -0.254 eV per atom
Magnetization ... 0.000 μB/atom

abc: 5.9296 5.9296 4.0082
angles: 90.00 90.00 90.00
Space group P4/mmm (No. 123)
Inequivalent atoms, fractional coordinates:
Ba 0.0000 0.5000 0.0000
Tl 0.0000 0.0000 0.5000

=====

Entry from Alexandria: crystalline Ba2Tl at its relaxed geometry (PBEsol).

Output
E_form ... -0.260 eV per atom
Magnetization ... 0.145 μB/atom

abc: 15.9921 15.9921 15.9921
angles: 90.00 90.00 90.00
Space group Fd-3m (No. 227, origin choice 2)
Inequivalent atoms, fractional coordinates:
Ba 0.0000 0.0000 0.0000
Ba 0.0674 0.3750 0.8750
Tl 0.0352 0.0352 0.2148

=====

Entry from Alexandria: crystalline Ba2Tl at its relaxed geometry (PBEsol).

Output
E_form ... -0.285 eV per atom
Magnetization ... 0.000 μB/atom

abc: 4.2313 19.5285 6.2252
angles: 90.00 90.00 90.00
Space group Cmcm (No. 63)
Inequivalent atoms, fractional coordinates:
Ba 0.0000 0.0716 0.2500
Ba 0.0000 0.2192 0.7500
Tl 0.0000 0.4187 0.2500

=====

Entry from Alexandria: crystalline BaTl2 at its relaxed geometry (PBEsol).

Output
E_form ... 0.029 eV per atom
Magnetization ... 0.000 μB/atom

abc: 7.7821 7.7821 7.7821
angles: 90.00 90.00 90.00
Space group Fm-3m (No. 225)
Inequivalent atoms, fractional coordinates:
Ba 0.0000 0.0000 0.0000
Tl 0.2500 0.2500 0.2500

=====

Entry from Alexandria: crystalline Ba3Tl at its relaxed geometry (PBEsol).

Output
E_form ... -0.192 eV per atom
Magnetization ... 0.000 μB/atom

abc: 5.8676 7.8159 7.3401
angles: 90.00 90.00 90.00
Space group Pmmn (No. 59, origin choice 2)
Inequivalent atoms, fractional coordinates:
Ba 0.2500 0.0012 0.1549
Ba 0.2500 0.2500 0.5931
Tl 0.2500 0.7500 0.7052

=====

Entry from Alexandria: crystalline Ba2Tl at its relaxed geometry (PBEsol).

Output
E_form ... -0.287 eV per atom
Magnetization ... 0.000 μB/atom

abc: 8.3523 8.3523 7.8477
angles: 90.00 90.00 90.00
Space group I4/mcm (No. 140)
Inequivalent atoms, fractional coordinates:
Ba 0.1909 0.3091 0.0000
Tl 0.0000 0.0000 0.2500

=====

Entry from Alexandria: crystalline BaTl at its relaxed geometry (PBEsol).

Output
E_form ... -0.359 eV per atom
Magnetization ... 0.000 μB/atom

abc: 12.3938 10.1381 7.1846
angles: 90.00 90.00 90.00
Space group Pbcm (No. 57)
Inequivalent atoms, fractional coordinates:
Ba 0.1177 0.2500 0.0000
Ba 0.1931 0.6348 0.2500
Ba 0.3682 0.0436 0.2500
Tl 0.0658 0.5435 0.7500
Tl 0.3807 0.1110 0.7500
Tl 0.4333 0.7500 0.0000